The following is a DFT calculation (GGA-PBEsol) of crystalline SnTe4Pb3 at its relaxed geometry.

abc: 4.523 4.523 12.788
angles: 90.00 90.00 90.00
Space group P4/mmm (No. 123)
Asymmetric unit:
Sn 0.000 0.000 0.000 [1 per cell]
Te 0.000 0.000 0.247 [2 per cell]
Te 0.500 0.500 0.000 [1 per cell]
Te 0.500 0.500 0.500 [1 per cell]
Pb 0.000 0.000 0.500 [1 per cell]
Pb 0.500 0.500 0.249 [2 per cell]

Summary:
spin magnetization: 0.000 μB/atom
E: -4.136 eV/atom